Entry 1:
This record from Alexandria via LeMat-Bulk describes crystalline Ce3DyMn at its relaxed geometry. The functional is PBE.

```
Ce3DyMn
1.0
5.1585 0.0000 0.0000
0.0000 5.1585 0.0000
0.0000 0.0000 5.1585
Ce Dy Mn
3 1 1
direct
0.0000 0.0000 0.5000
0.0000 0.5000 0.0000
0.5000 0.0000 0.0000
0.5000 0.5000 0.5000
0.0000 0.0000 0.0000
```

Spin magnetization = 0.00 μB per cell
ΔH_f (0 K) = 159 meV/atom

***

Entry 2:
This record from Alexandria via LeMat-Bulk describes crystalline BaSb2N at its relaxed geometry. The functional is PBE.

```
BaSb2N
1.0
-3.7426 3.7426 4.0852
3.7426 -3.7426 4.0852
3.7426 3.7426 -4.0852
Ba Sb N
2 4 2
direct
0.0000 0.0000 0.0000
0.7500 0.2500 0.5000
0.2664 0.1250 0.6414
0.3750 0.7336 0.8586
0.4836 0.6250 0.3586
0.8750 0.5164 0.1414
0.2500 0.7500 0.5000
0.5000 0.5000 0.0000
```

Spin magnetization = 0.00 μB per cell
Formation energy from raw total energies = 87.6 meV per atom